No. 1
A geometry-optimized PtAuI2N structure, computed with PBE-GGA.

Values from the calculation:
formation energy without anion corrections = 63 kJ per mole of atoms
total DFT energy (no corrections) = -17.48 eV per cell
total moment = 0.000 μB per cell
relative energy among the computed polymorphs = 0 meV/atom

Unit cell a=5.746 b=5.746 c=3.722 alpha=90.00 beta=90.00 gamma=90.00
Space group P4/mmm (No. 123)
Asymmetric unit:
Pt (0.000, 0.000, 0.000) (multiplicity 1)
Au (0.500, 0.500, 0.500) (multiplicity 1)
I (0.000, 0.500, 0.000) (multiplicity 2)
N (0.000, 0.000, 0.500) (multiplicity 1)


No. 2
A geometry-optimized PtAuI2N structure, computed with PBE-GGA.

Values from the calculation:
formation energy without anion corrections = 129 kJ per mole of atoms
total DFT energy (no corrections) = -14.04 eV per cell
total moment = 0.003 μB per cell
relative energy among the computed polymorphs = 687 meV/atom

Unit cell a=5.834 b=5.834 c=3.739 alpha=90.00 beta=90.00 gamma=90.00
Space group P4/mmm (No. 123)
Asymmetric unit:
Pt (0.000, 0.000, 0.000) (multiplicity 1)
Au (0.500, 0.500, 0.500) (multiplicity 1)
I (0.000, 0.500, 0.500) (multiplicity 2)
N (0.500, 0.500, 0.000) (multiplicity 1)